1.
Compound: YAlCoW2
Source: the Alexandria database
Functional: PBE
Structure: optimized geometry

Computed properties:
Crystal system: tetragonal

```
data_YAlCoW2
_chemical_formula_sum 'Y1 Al1 Co1 W2'
_cell_length_a 4.6236
_cell_length_b 4.6236
_cell_length_c 4.4341
_cell_angle_alpha 90.00
_cell_angle_beta 90.00
_cell_angle_gamma 90.00
_symmetry_space_group_name_H-M 'P 4/m m m'
_symmetry_Int_Tables_number 123
_symmetry_space_group_name_Hall '-P 4 2'
loop_
_atom_site_label
_atom_site_type_symbol
_atom_site_fract_x
_atom_site_fract_y
_atom_site_fract_z
Y1 Y 0.0000 0.0000 0.0000
Al1 Al 0.5000 0.5000 0.0000
Co1 Co 0.5000 0.5000 0.5000
W1 W 0.0000 0.5000 0.5000
```

***

2.
Compound: ZrAl2CoW
Source: the Alexandria database
Functional: PBE
Structure: optimized geometry

Computed properties:
Crystal system: tetragonal

```
data_ZrAl2CoW
_chemical_formula_sum 'Zr1 Al2 Co1 W1'
_cell_length_a 4.7524
_cell_length_b 4.7524
_cell_length_c 4.4188
_cell_angle_alpha 90.00
_cell_angle_beta 90.00
_cell_angle_gamma 90.00
_symmetry_space_group_name_H-M 'P 4/m m m'
_symmetry_Int_Tables_number 123
_symmetry_space_group_name_Hall '-P 4 2'
loop_
_atom_site_label
_atom_site_type_symbol
_atom_site_fract_x
_atom_site_fract_y
_atom_site_fract_z
Zr1 Zr 0.0000 0.0000 0.0000
Al1 Al 0.0000 0.5000 0.5000
Co1 Co 0.5000 0.5000 0.0000
W1 W 0.5000 0.5000 0.5000
```

***

3.
Compound: Y3Al3Co2
Source: the Alexandria database
Functional: PBE
Structure: optimized geometry

Computed properties:
Crystal system: orthorhombic

```
data_Y3Al3Co2
_chemical_formula_sum 'Y12 Al12 Co8'
_cell_length_a 7.4220
_cell_length_b 14.9085
_cell_length_c 5.7900
_cell_angle_alpha 90.00
_cell_angle_beta 90.00
_cell_angle_gamma 90.00
_symmetry_space_group_name_H-M 'P n m a'
_symmetry_Int_Tables_number 62
_symmetry_space_group_name_Hall '-P 2ac 2n'
loop_
_atom_site_label
_atom_site_type_symbol
_atom_site_fract_x
_atom_site_fract_y
_atom_site_fract_z
Y1 Y 0.0322 0.1076 0.1100
Y2 Y 0.1676 0.2500 0.6362
Al1 Al 0.1601 0.0365 0.5997
Al2 Al 0.1768 0.7500 0.6164
Co1 Co 0.1373 0.6057 0.3777
```

***

| no. | formation energy (eV/f.u.) |
| --- | --- |
| 1 | 3.2 |
| 2 | 3.9 |
| 3 | -3.4 |